Record 1
# Gd3Te2NO GGA-PBE optimized geometry
data_Gd3Te2NO
_chemical_formula_sum 'Gd12 Te8 N4 O4'
_symmetry_space_group_name_H-M 'P n m a'
_symmetry_Int_Tables_number 62
_symmetry_space_group_name_Hall '-P 2ac 2n'
_cell_length_a 13.407
_cell_length_b 4.079
_cell_length_c 12.180
_cell_angle_alpha 90.00
_cell_angle_beta 90.00
_cell_angle_gamma 90.00
loop_
_atom_site_label
_atom_site_fract_x
_atom_site_fract_y
_atom_site_fract_z
_atom_site_occupancy
Gd1 0.022 0.250 0.121 1
Gd2 0.105 0.750 0.614 1
Gd3 0.190 0.250 0.852 1
Te1 0.067 0.750 0.347 1
Te2 0.228 0.750 0.072 1
N1 0.131 0.750 0.789 1
O1 0.040 0.250 0.933 1
# Uncorrected energy   -191.8 eV for the cell shown
# Crystal system   orthorhombic

Record 2
# GdYNO GGA-PBE optimized geometry
data_GdYNO
_chemical_formula_sum 'Gd2 Y2 N2 O2'
_symmetry_space_group_name_H-M 'P 4/n m m'
_symmetry_Int_Tables_number 129
_cell_length_a 4.299
_cell_length_b 4.299
_cell_length_c 7.878
_cell_angle_alpha 90.00
_cell_angle_beta 90.00
_cell_angle_gamma 90.00
loop_
_symmetry_equiv_pos_as_xyz
'x,y,z'
'-x,-y,-z'
'-y+1/2,x,z'
'y+1/2,-x,-z'
'-x+1/2,-y+1/2,z'
'x+1/2,y+1/2,-z'
'y,-x+1/2,z'
'-y,x+1/2,-z'
'x+1/2,-y,-z'
'-x+1/2,y,z'
'-y,-x,-z'
'y,x,z'
'-x,y+1/2,-z'
'x,-y+1/2,z'
'y+1/2,x+1/2,-z'
'-y+1/2,-x+1/2,z'
loop_
_atom_site_label
_atom_site_fract_x
_atom_site_fract_y
_atom_site_fract_z
_atom_site_occupancy
Gd1 0.250 0.750 0.000 1
Y1 0.250 0.250 0.400 1
N1 0.250 0.250 0.876 1
O1 0.250 0.750 0.500 1
# Uncorrected energy   -62.4 eV for the cell shown
# Crystal system   tetragonal
# Distance to the lowest polymorph of the same formula   0.504 eV/atom

Record 3
# GdYNO GGA-PBE optimized geometry
data_GdYNO
_chemical_formula_sum 'Gd4 Y4 N4 O4'
_symmetry_space_group_name_H-M 'P b c m'
_symmetry_Int_Tables_number 57
_symmetry_space_group_name_Hall '-P 2c 2b'
_cell_length_a 8.099
_cell_length_b 6.677
_cell_length_c 4.953
_cell_angle_alpha 90.00
_cell_angle_beta 90.00
_cell_angle_gamma 90.00
loop_
_atom_site_label
_atom_site_fract_x
_atom_site_fract_y
_atom_site_fract_z
_atom_site_occupancy
Gd1 0.123 0.070 0.250 1
Y1 0.374 0.584 0.250 1
N1 0.376 0.572 0.750 1
O1 0.134 0.092 0.750 1
# Uncorrected energy   -132.5 eV for the cell shown
# Crystal system   orthorhombic
# Distance to the lowest polymorph of the same formula   0.018 eV/atom

Record 4
# GdYNO GGA-PBE optimized geometry
data_GdYNO
_chemical_formula_sum 'Gd4 Y4 N4 O4'
_symmetry_space_group_name_H-M 'P c a 21'
_symmetry_Int_Tables_number 29
_symmetry_space_group_name_Hall 'P 2c -2ac'
_cell_length_a 6.644
_cell_length_b 8.114
_cell_length_c 4.981
_cell_angle_alpha 90.00
_cell_angle_beta 90.00
_cell_angle_gamma 90.00
loop_
_atom_site_label
_atom_site_fract_x
_atom_site_fract_y
_atom_site_fract_z
_atom_site_occupancy
Gd1 0.082 0.128 0.000 1
Y1 0.070 0.622 0.001 1
N1 0.068 0.127 0.500 1
O1 0.095 0.629 0.502 1
# Uncorrected energy   -132.2 eV for the cell shown
# Crystal system   orthorhombic
# Distance to the lowest polymorph of the same formula   0.037 eV/atom

Record 5
# GdYNO GGA-PBE optimized geometry
data_GdYNO
_chemical_formula_sum 'Gd2 Y2 N2 O2'
_symmetry_space_group_name_H-M 'P m m a'
_symmetry_Int_Tables_number 51
_symmetry_space_group_name_Hall '-P 2a 2a'
_cell_length_a 4.927
_cell_length_b 3.994
_cell_length_c 6.910
_cell_angle_alpha 90.00
_cell_angle_beta 90.00
_cell_angle_gamma 90.00
loop_
_atom_site_label
_atom_site_fract_x
_atom_site_fract_y
_atom_site_fract_z
_atom_site_occupancy
Gd1 0.250 0.000 0.167 1
Y1 0.250 0.500 0.666 1
N1 0.250 0.000 0.833 1
O1 0.250 0.500 0.331 1
# Uncorrected energy   -66.3 eV for the cell shown
# Crystal system   orthorhombic
# Distance to the lowest polymorph of the same formula   0.013 eV/atom

Record 6
# GdYNO GGA-PBE optimized geometry
data_GdYNO
_chemical_formula_sum 'Gd2 Y2 N2 O2'
_symmetry_space_group_name_H-M 'P m m a'
_symmetry_Int_Tables_number 51
_symmetry_space_group_name_Hall '-P 2a 2a'
_cell_length_a 4.893
_cell_length_b 3.991
_cell_length_c 6.935
_cell_angle_alpha 90.00
_cell_angle_beta 90.00
_cell_angle_gamma 90.00
loop_
_atom_site_label
_atom_site_fract_x
_atom_site_fract_y
_atom_site_fract_z
_atom_site_occupancy
Gd1 0.250 0.000 0.165 1
Y1 0.250 0.500 0.667 1
N1 0.250 0.500 0.338 1
O1 0.250 0.000 0.823 1
# Uncorrected energy   -66.4 eV for the cell shown
# Crystal system   orthorhombic
# Distance to the lowest polymorph of the same formula   0.000 eV/atom

Record 7
# GdYNO GGA-PBE optimized geometry
data_GdYNO
_chemical_formula_sum 'Gd2 Y2 N2 O2'
_symmetry_space_group_name_H-M 'P 4/n m m'
_symmetry_Int_Tables_number 129
_cell_length_a 4.448
_cell_length_b 4.448
_cell_length_c 7.870
_cell_angle_alpha 90.00
_cell_angle_beta 90.00
_cell_angle_gamma 90.00
loop_
_symmetry_equiv_pos_as_xyz
'x,y,z'
'-x,-y,-z'
'-y+1/2,x,z'
'y+1/2,-x,-z'
'-x+1/2,-y+1/2,z'
'x+1/2,y+1/2,-z'
'y,-x+1/2,z'
'-y,x+1/2,-z'
'x+1/2,-y,-z'
'-x+1/2,y,z'
'-y,-x,-z'
'y,x,z'
'-x,y+1/2,-z'
'x,-y+1/2,z'
'y+1/2,x+1/2,-z'
'-y+1/2,-x+1/2,z'
loop_
_atom_site_label
_atom_site_fract_x
_atom_site_fract_y
_atom_site_fract_z
_atom_site_occupancy
Gd1 0.250 0.250 0.088 1
Y1 0.250 0.750 0.500 1
N1 0.250 0.250 0.575 1
O1 0.250 0.750 0.000 1
# Uncorrected energy   -63.0 eV for the cell shown
# Crystal system   tetragonal
# Distance to the lowest polymorph of the same formula   0.418 eV/atom

Record 8
# Gd3PN2 GGA-PBE optimized geometry
data_Gd3PN2
_chemical_formula_sum 'Gd3 P1 N2'
_symmetry_space_group_name_H-M 'P -3 m 1'
_symmetry_Int_Tables_number 164
_symmetry_space_group_name_Hall '-P 3 2"'
_cell_length_a 3.6457
_cell_length_b 3.6457
_cell_length_c 9.2062
_cell_angle_alpha 90.00
_cell_angle_beta 90.00
_cell_angle_gamma 120.00
loop_
_atom_site_label
_atom_site_fract_x
_atom_site_fract_y
_atom_site_fract_z
_atom_site_occupancy
Gd1 0.0000 0.0000 0.0000 1
Gd2 0.3333 0.6667 0.3034 1
P1 0.0000 0.0000 0.5000 1
N1 0.3333 0.6667 0.8466 1
# Uncorrected energy   -45.0 eV for the cell shown
# Crystal system   trigonal

Record 9
# TbGd3Pb2N2 GGA-PBE optimized geometry
data_TbGd3Pb2N2
_chemical_formula_sum 'Tb1 Gd3 Pb2 N2'
_symmetry_space_group_name_H-M 'P 3 m 1'
_symmetry_Int_Tables_number 156
_symmetry_space_group_name_Hall 'P 3 -2"'
_cell_length_a 3.5800
_cell_length_b 3.5800
_cell_length_c 15.8105
_cell_angle_alpha 90.00
_cell_angle_beta 90.00
_cell_angle_gamma 120.00
loop_
_atom_site_label
_atom_site_fract_x
_atom_site_fract_y
_atom_site_fract_z
_atom_site_occupancy
Tb1 0.0000 0.0000 0.0000 1
Gd1 0.0000 0.0000 0.3331 1
Gd2 0.3333 0.6667 0.5005 1
Gd3 0.3333 0.6667 0.8333 1
Pb1 0.0000 0.0000 0.6670 1
Pb2 0.3333 0.6667 0.1662 1
N1 0.6667 0.3333 0.4168 1
N2 0.6667 0.3333 0.9180 1
# Uncorrected energy   -51.3 eV for the cell shown
# Crystal system   trigonal

Record 10
# GdTm3Pb2N2 GGA-PBE optimized geometry
data_GdTm3Pb2N2
_chemical_formula_sum 'Gd1 Tm3 Pb2 N2'
_symmetry_space_group_name_H-M 'P 3 m 1'
_symmetry_Int_Tables_number 156
_symmetry_space_group_name_Hall 'P 3 -2"'
_cell_length_a 3.5164
_cell_length_b 3.5164
_cell_length_c 15.4625
_cell_angle_alpha 90.00
_cell_angle_beta 90.00
_cell_angle_gamma 120.00
loop_
_atom_site_label
_atom_site_fract_x
_atom_site_fract_y
_atom_site_fract_z
_atom_site_occupancy
Gd1 0.0000 0.0000 0.0000 1
Tm1 0.0000 0.0000 0.3349 1
Tm2 0.3333 0.6667 0.4988 1
Tm3 0.3333 0.6667 0.8314 1
Pb1 0.0000 0.0000 0.6644 1
Pb2 0.3333 0.6667 0.1698 1
N1 0.6667 0.3333 0.4168 1
N2 0.6667 0.3333 0.9086 1
# Uncorrected energy   -51.0 eV for the cell shown
# Crystal system   trigonal

Record 11
# Gd3YPb2N2 GGA-PBE optimized geometry
data_Gd3YPb2N2
_chemical_formula_sum 'Gd3 Y1 Pb2 N2'
_symmetry_space_group_name_H-M 'P 3 m 1'
_symmetry_Int_Tables_number 156
_symmetry_space_group_name_Hall 'P 3 -2"'
_cell_length_a 3.5784
_cell_length_b 3.5784
_cell_length_c 15.7787
_cell_angle_alpha 90.00
_cell_angle_beta 90.00
_cell_angle_gamma 120.00
loop_
_atom_site_label
_atom_site_fract_x
_atom_site_fract_y
_atom_site_fract_z
_atom_site_occupancy
Gd1 0.0000 0.0000 0.0000 1
Gd2 0.0000 0.0000 0.3329 1
Gd3 0.3333 0.6667 0.5006 1
Y1 0.3333 0.6667 0.8334 1
Pb1 0.0000 0.0000 0.6677 1
Pb2 0.3333 0.6667 0.1664 1
N1 0.6667 0.3333 0.4168 1
N2 0.6667 0.3333 0.9152 1
# Uncorrected energy   -53.1 eV for the cell shown
# Crystal system   trigonal

Record 12
# GdYPbN GGA-PBE optimized geometry
data_GdYPbN
_chemical_formula_sum 'Gd2 Y2 Pb2 N2'
_symmetry_space_group_name_H-M 'P -6 m 2'
_symmetry_Int_Tables_number 187
_symmetry_space_group_name_Hall 'P -6 2'
_cell_length_a 3.5719
_cell_length_b 3.5719
_cell_length_c 15.7241
_cell_angle_alpha 90.00
_cell_angle_beta 90.00
_cell_angle_gamma 120.00
loop_
_atom_site_label
_atom_site_fract_x
_atom_site_fract_y
_atom_site_fract_z
_atom_site_occupancy
Gd1 0.0000 0.0000 0.1670 1
Y1 0.3333 0.6667 0.3341 1
Pb1 0.0000 0.0000 0.5000 1
Pb2 0.3333 0.6667 0.0000 1
N1 0.6667 0.3333 0.2521 1
# Uncorrected energy   -55.0 eV for the cell shown
# Crystal system   hexagonal

Record 13
# GdYPbN GGA-PBE optimized geometry
data_GdYPbN
_chemical_formula_sum 'Gd2 Y2 Pb2 N2'
_symmetry_space_group_name_H-M 'P -3 m 1'
_symmetry_Int_Tables_number 164
_symmetry_space_group_name_Hall '-P 3 2"'
_cell_length_a 3.5715
_cell_length_b 3.5715
_cell_length_c 15.7298
_cell_angle_alpha 90.00
_cell_angle_beta 90.00
_cell_angle_gamma 120.00
loop_
_atom_site_label
_atom_site_fract_x
_atom_site_fract_y
_atom_site_fract_z
_atom_site_occupancy
Gd1 0.3333 0.6667 0.0842 1
Y1 0.3333 0.6667 0.4172 1
Pb1 0.3333 0.6667 0.7483 1
N1 0.0000 0.0000 0.0000 1
N2 0.0000 0.0000 0.5000 1
# Uncorrected energy   -55.0 eV for the cell shown
# Crystal system   trigonal

Record 14
# GdY3Pb2N2 GGA-PBE optimized geometry
data_GdY3Pb2N2
_chemical_formula_sum 'Gd1 Y3 Pb2 N2'
_symmetry_space_group_name_H-M 'P 3 m 1'
_symmetry_Int_Tables_number 156
_symmetry_space_group_name_Hall 'P 3 -2"'
_cell_length_a 3.5656
_cell_length_b 3.5656
_cell_length_c 15.6682
_cell_angle_alpha 90.00
_cell_angle_beta 90.00
_cell_angle_gamma 120.00
loop_
_atom_site_label
_atom_site_fract_x
_atom_site_fract_y
_atom_site_fract_z
_atom_site_occupancy
Gd1 0.0000 0.0000 0.0000 1
Y1 0.0000 0.0000 0.3334 1
Y2 0.3333 0.6667 0.4997 1
Y3 0.3333 0.6667 0.8323 1
Pb1 0.0000 0.0000 0.6658 1
Pb2 0.3333 0.6667 0.1675 1
N1 0.6667 0.3333 0.4165 1
N2 0.6667 0.3333 0.9145 1
# Uncorrected energy   -56.9 eV for the cell shown
# Crystal system   trigonal

Record 15
# Gd2PdN3 GGA-PBE optimized geometry
data_Gd2PdN3
_chemical_formula_sum 'Gd4 Pd2 N6'
_symmetry_space_group_name_H-M 'I m m m'
_symmetry_Int_Tables_number 71
_symmetry_space_group_name_Hall '-I 2 2'
_cell_length_a 3.389
_cell_length_b 3.831
_cell_length_c 12.691
_cell_angle_alpha 90.00
_cell_angle_beta 90.00
_cell_angle_gamma 90.00
loop_
_atom_site_label
_atom_site_fract_x
_atom_site_fract_y
_atom_site_fract_z
_atom_site_occupancy
Gd1 0.000 0.000 0.152 1
Pd1 0.000 0.000 0.500 1
N1 0.000 0.000 0.332 1
N2 0.000 0.500 0.500 1
# Uncorrected energy   -89.0 eV for the cell shown
# Crystal system   orthorhombic

Record 16
# Pr2GdTa2N6 GGA-PBE optimized geometry
data_Pr2GdTa2N6
_chemical_formula_sum 'Pr4 Gd2 Ta4 N12'
_symmetry_space_group_name_H-M 'I 4/m m m'
_symmetry_Int_Tables_number 139
_symmetry_space_group_name_Hall '-I 4 2'
_cell_length_a 4.026
_cell_length_b 4.026
_cell_length_c 19.626
_cell_angle_alpha 90.00
_cell_angle_beta 90.00
_cell_angle_gamma 90.00
loop_
_atom_site_label
_atom_site_fract_x
_atom_site_fract_y
_atom_site_fract_z
_atom_site_occupancy
Pr1 0.000 0.000 0.180 1
Gd1 0.000 0.000 0.000 1
Ta1 0.000 0.000 0.403 1
N1 0.000 0.000 0.303 1
N2 0.000 0.500 0.080 1
# Uncorrected energy   -205.6 eV for the cell shown
# Crystal system   tetragonal

Record 17
# PrGd2Ta2N6 GGA-PBE optimized geometry
data_PrGd2Ta2N6
_chemical_formula_sum 'Pr2 Gd4 Ta4 N12'
_symmetry_space_group_name_H-M 'I 4/m m m'
_symmetry_Int_Tables_number 139
_symmetry_space_group_name_Hall '-I 4 2'
_cell_length_a 4.037
_cell_length_b 4.037
_cell_length_c 19.424
_cell_angle_alpha 90.00
_cell_angle_beta 90.00
_cell_angle_gamma 90.00
loop_
_atom_site_label
_atom_site_fract_x
_atom_site_fract_y
_atom_site_fract_z
_atom_site_occupancy
Pr1 0.000 0.000 0.000 1
Gd1 0.000 0.000 0.179 1
Ta1 0.000 0.000 0.396 1
N1 0.000 0.000 0.296 1
N2 0.000 0.500 0.088 1
# Uncorrected energy   -205.3 eV for the cell shown
# Crystal system   tetragonal

Record 18
# GdPt8N2 GGA-PBE optimized geometry
data_GdPt8N2
_chemical_formula_sum 'Gd2 Pt16 N4'
_symmetry_space_group_name_H-M 'C 1 2/m 1'
_symmetry_Int_Tables_number 12
_symmetry_space_group_name_Hall '-C 2y'
_cell_length_a 13.322
_cell_length_b 3.520
_cell_length_c 9.550
_cell_angle_alpha 90.00
_cell_angle_beta 132.16
_cell_angle_gamma 90.00
loop_
_atom_site_label
_atom_site_fract_x
_atom_site_fract_y
_atom_site_fract_z
_atom_site_occupancy
Gd1 0.000 0.000 0.000 1
Pt1 0.009 0.000 0.370 1
Pt2 0.143 0.500 0.921 1
Pt3 0.145 0.500 0.340 1
Pt4 0.173 0.500 0.666 1
N1 0.204 0.500 0.188 1
# Uncorrected energy   -140.7 eV for the cell shown
# Crystal system   monoclinic

Record 19
# Gd3Re2Sb3N12 GGA-PBE optimized geometry
data_Gd3Re2Sb3N12
_chemical_formula_sum 'Gd24 Re16 Sb24 N96'
_symmetry_space_group_name_H-M 'I a -3 d'
_symmetry_Int_Tables_number 230
_symmetry_space_group_name_Hall '-I 4bd 2c 3'
_cell_length_a 12.888
_cell_length_b 12.888
_cell_length_c 12.888
_cell_angle_alpha 90.00
_cell_angle_beta 90.00
_cell_angle_gamma 90.00
loop_
_atom_site_label
_atom_site_fract_x
_atom_site_fract_y
_atom_site_fract_z
_atom_site_occupancy
Gd1 0.000 0.250 0.125 1
Re1 0.000 0.000 0.000 1
Sb1 0.000 0.250 0.375 1
N1 0.027 0.056 0.643 1
# Uncorrected energy   -1236.1 eV for the cell shown
# Crystal system   cubic